No. 1
Ba3Mg7Cd4 (PBE, relaxed); crystal system = monoclinic; raw total energy = -1.65 eV/atom; space group = No. 12; total magnetic moment = 0.00 μB per formula unit; E_form = -176 meV/atom
1.0
5.0049 0.0000 1.2626
1.7804 8.7454 3.4932
0.2133 0.5091 9.7053
Ba Mg Cd
3 7 4
direct
0.2971 0.2025 0.2032
0.7029 0.7975 0.7968
0.0000 0.5000 0.5000
0.3296 0.8238 0.5171
0.4983 0.1868 0.8167
0.8573 0.3596 0.9259
0.6704 0.1762 0.4829
0.1427 0.6404 0.0741
0.0000 0.0000 0.0000
0.5017 0.8132 0.1833
0.6603 0.4793 0.2000
0.3397 0.5207 0.8000
0.8729 0.9171 0.3371
0.1271 0.0829 0.6629

No. 2
La2PuGa4Pt3 (PBE, relaxed); crystal system = tetragonal; raw total energy = -6.24 eV/atom; space group = No. 115; total magnetic moment = 5.83 μB per formula unit; E_form = -798 meV/atom
1.0
4.3313 0.0000 0.0000
0.0000 4.3313 0.0000
0.0000 0.0000 11.5422
La Pu Ga Pt
2 1 4 3
direct
0.5000 0.0000 0.2276
0.0000 0.5000 0.7724
0.5000 0.5000 0.5000
0.5000 0.5000 0.0000
0.0000 0.0000 0.0000
0.5000 0.0000 0.6679
0.0000 0.5000 0.3321
0.0000 0.0000 0.5000
0.5000 0.0000 0.8808
0.0000 0.5000 0.1192